The following is a DFT calculation (meta-GGA SCAN) of a PBEsol-optimized structure of Li3PbS.

Geometry as CIF:
```
data_Li3PbS
_symmetry_space_group_name_H-M 'P m -3 m'
_symmetry_Int_Tables_number 221
_symmetry_space_group_name_Hall '-P 4 2 3'
_cell_length_a 4.600
_cell_length_b 4.600
_cell_length_c 4.600
_cell_angle_alpha 90.00
_cell_angle_beta 90.00
_cell_angle_gamma 90.00
loop_
_atom_site_label
_atom_site_type_symbol
_atom_site_fract_x
_atom_site_fract_y
_atom_site_fract_z
_atom_site_occupancy
Li1 Li 0.000 0.000 0.500 1
Pb1 Pb 0.500 0.500 0.500 1
S1 S 0.000 0.000 0.000 1
```

Properties
magnetization: 0.00 Bohr magnetons per cell
energy relative to the elements, uncorrected: -3.5 eV per formula unit